Sm5Dy12Er2: relaxed, PBE.

Computed properties:
Theoretical density ... 8.3 g/cm3
DFT formation energy ... 0.02 eV per atom
Energy relative to the lowest polymorph listed for this composition ... 0 meV per atom
M_tot ... 0.000 μB/atom

Geometry as POSCAR:
```
Sm5Dy12Er2
1.0
5.958 -1.580 0.191
-4.544 10.111 -6.447
0.189 -1.839 12.685
Dy Sm Er
12 5 2
direct
0.052 0.368 0.763
0.842 0.895 0.712
0.107 0.738 0.026
0.367 0.578 0.341
0.421 0.947 0.606
0.948 0.632 0.237
0.579 0.053 0.394
0.893 0.262 0.974
0.314 0.209 0.079
0.158 0.105 0.288
0.686 0.791 0.921
0.633 0.422 0.659
0.526 0.684 0.131
0.000 0.000 0.500
0.789 0.526 0.447
0.474 0.316 0.869
0.211 0.474 0.553
0.736 0.156 0.183
0.264 0.844 0.817
```